A.
Below is an optimized crystal structure of KCoAg, with properties calculated at the PBE level.

Lattice parameters (Å, degrees): 5.1588 5.1588 5.1588 60.00 60.00 60.00
Element x y z (fractional)
K1 0.0000 0.0000 0.0000
Co1 0.7500 0.7500 0.7500
Ag1 0.2500 0.2500 0.2500

## Properties
Symmetry = F-43m

---

B.
Below is an optimized crystal structure of KCoAg, with properties calculated at the PBE level.

Lattice parameters (Å, degrees): 4.8663 4.8663 4.8663 60.00 60.00 60.00
Element x y z (fractional)
K1 0.0000 0.0000 0.0000
Co1 0.7500 0.7500 0.7500
Ag1 0.5000 0.5000 0.5000

## Properties
Symmetry = F-43m

---

Verdict on stability: B comes out on top.

---

A.
Below is an optimized crystal structure of KCoAg, with properties calculated at the PBE level.

Lattice parameters (Å, degrees): 6.3862 6.3862 6.3862 154.54 140.53 47.56
Element x y z (fractional)
K1 0.0000 0.0000 0.0000
Co1 0.2720 0.2720 0.0000
Ag1 0.7221 0.7221 0.0000

## Properties
Symmetry = Imm2

---

B.
Below is an optimized crystal structure of KCoAg, with properties calculated at the PBE level.

Lattice parameters (Å, degrees): 5.1589 5.1589 2.8285 90.00 90.00 120.00
Element x y z (fractional)
K1 0.0000 0.0000 0.0000
Co1 0.3333 0.6667 0.5015
Ag1 0.6667 0.3333 0.4996

## Properties
Symmetry = P3m1

---

Verdict on stability: A comes out on top.

---

A.
Below is an optimized crystal structure of K2CoAg, with properties calculated at the PBE level.

Lattice parameters (Å, degrees): 11.0906 11.0906 11.0906 17.52 17.52 17.52
Element x y z (fractional)
K1 0.2480 0.2480 0.2480
K2 0.7520 0.7520 0.7520
Co1 0.5000 0.5000 0.5000
Ag1 0.0000 0.0000 0.0000

## Properties
Symmetry = R-3m

---

B.
Below is an optimized crystal structure of K2CoAg, with properties calculated at the PBE level.

Lattice parameters (Å, degrees): 4.4758 4.4758 9.1201 103.85 103.85 59.98
Element x y z (fractional)
K1 0.0000 0.0000 0.0000
K2 0.1713 0.1713 0.5266
Co1 0.7535 0.7535 0.2673
Ag1 0.4181 0.4181 0.2610

## Properties
Symmetry = Cm

---

C.
Below is an optimized crystal structure of K2CoAg, with properties calculated at the PBE level.

Lattice parameters (Å, degrees): 4.7085 6.3349 6.3349 47.94 90.00 90.00
Element x y z (fractional)
K1 0.0000 0.0000 0.0000
K2 0.5000 0.2966 0.2966
Co1 0.5000 0.6117 0.6117
Ag1 0.0000 0.6904 0.6904

## Properties
Symmetry = Amm2

---

Verdict on stability: B comes out on top.

---

A.
Below is an optimized crystal structure of K2Co2Ag, with properties calculated at the PBE level.

Lattice parameters (Å, degrees): 5.8421 5.8421 5.8421 113.15 113.15 102.33
Element x y z (fractional)
K1 0.2500 0.7500 0.5000
K2 0.7500 0.2500 0.5000
Co1 0.1407 0.1407 0.0000
Co2 0.8593 0.8593 0.0000
Ag1 0.5000 0.5000 0.0000

## Properties
Symmetry = I4/mmm

---

B.
Below is an optimized crystal structure of K2Co2Ag, with properties calculated at the PBE level.

Lattice parameters (Å, degrees): 9.6589 9.6589 2.7896 90.00 90.00 90.00
Element x y z (fractional)
K1 0.2059 0.2941 0.0000
K2 0.2941 0.7941 0.0000
K3 0.7059 0.2059 0.0000
K4 0.7941 0.7059 0.0000
Co1 0.0764 0.5764 0.5000
Co2 0.4236 0.0764 0.5000
Co3 0.5764 0.9236 0.5000
Co4 0.9236 0.4236 0.5000
Ag1 0.0000 0.0000 0.5000
Ag2 0.5000 0.5000 0.5000

## Properties
Symmetry = P4/mbm

---

Verdict on stability: A comes out on top.

---

A.
Below is an optimized crystal structure of La2CoAg2, with properties calculated at the PBE level.

Lattice parameters (Å, degrees): 9.1397 9.1397 9.1397 156.34 156.34 33.70
Element x y z (fractional)
La1 0.0904 0.0904 0.0000
La2 0.9096 0.9096 0.0000
Co1 0.5000 0.5000 0.0000
Ag1 0.2500 0.7500 0.5000
Ag2 0.7500 0.2500 0.5000

## Properties
Symmetry = I4/mmm

---

B.
Below is an optimized crystal structure of La2CoAg2, with properties calculated at the PBE level.

Lattice parameters (Å, degrees): 7.6676 7.6676 4.5685 90.00 90.00 90.00
Element x y z (fractional)
La1 0.1758 0.3242 0.0000
La2 0.3242 0.8242 0.0000
La3 0.6758 0.1758 0.0000
La4 0.8242 0.6758 0.0000
Co1 0.0000 0.0000 0.0000
Co2 0.5000 0.5000 0.0000
Ag1 0.1289 0.6289 0.5000
Ag2 0.3711 0.1289 0.5000
Ag3 0.6289 0.8711 0.5000
Ag4 0.8711 0.3711 0.5000

## Properties
Symmetry = P4/mbm

---

Verdict on stability: A comes out on top.

---

A.
Below is an optimized crystal structure of La6Co2Ag, with properties calculated at the PBE level.

Lattice parameters (Å, degrees): 8.7518 8.7518 8.7518 114.61 107.93 106.01
Element x y z (fractional)
La1 0.0055 0.2118 0.7937
La2 0.1733 0.3061 0.4794
La3 0.1733 0.6939 0.8672
La4 0.3316 0.0241 0.6925
La5 0.3316 0.6390 0.3075
La6 0.4181 0.2118 0.2063
La7 0.5819 0.7882 0.7937
La8 0.6684 0.3610 0.6925
La9 0.6684 0.9759 0.3075
La10 0.8267 0.3061 0.1328
La11 0.8267 0.6939 0.5206
La12 0.9945 0.7882 0.2063
Co1 0.1392 0.6392 0.5000
Co2 0.3381 0.0000 0.3381
Co3 0.6619 0.0000 0.6619
Co4 0.8608 0.3608 0.5000
Ag1 0.0000 0.0000 0.0000
Ag2 0.5000 0.5000 0.0000

## Properties
Symmetry = Immm

---

B.
Below is an optimized crystal structure of La6Co2Ag, with properties calculated at the PBE level.

Lattice parameters (Å, degrees): 6.9201 6.9201 9.6286 125.50 125.50 46.19
Element x y z (fractional)
La1 0.0077 0.0077 0.1634
La2 0.2903 0.2903 0.8806
La3 0.3629 0.3629 0.4946
La4 0.6371 0.6371 0.5054
La5 0.7097 0.7097 0.1194
La6 0.9923 0.9923 0.8366
Co1 0.2854 0.2854 0.1856
Co2 0.7146 0.7146 0.8144
Ag1 0.0000 0.0000 0.5000

## Properties
Symmetry = C2/m

---

Verdict on stability: A comes out on top.

---

A.
Below is an optimized crystal structure of La7Co2Ag2, with properties calculated at the PBE level.

Lattice parameters (Å, degrees): 9.7440 9.7440 9.7440 157.20 68.37 116.54
Element x y z (fractional)
La1 0.0000 0.0000 0.0000
La2 0.0710 0.3875 0.6836
La3 0.0755 0.7250 0.3506
La4 0.3744 0.7250 0.6494
La5 0.4498 0.5804 0.8694
La6 0.7039 0.3875 0.3164
La7 0.7110 0.5804 0.1306
Co1 0.3099 0.0724 0.2375
Co2 0.8348 0.0724 0.7625
Ag1 0.3307 0.3307 0.0000
Ag2 0.7398 0.2398 0.5000

## Properties
Symmetry = Imm2

---

B.
Below is an optimized crystal structure of La7Co2Ag2, with properties calculated at the PBE level.

Lattice parameters (Å, degrees): 7.0558 7.0558 7.1615 90.00 90.00 112.08
Element x y z (fractional)
La1 0.0000 0.0000 0.0000
La2 0.0000 0.5000 0.2505
La3 0.0000 0.5000 0.7495
La4 0.5000 0.0000 0.2505
La5 0.5000 0.0000 0.7495
La6 0.5000 0.5000 0.2381
La7 0.5000 0.5000 0.7619
Co1 0.2980 0.7020 0.0000
Co2 0.7020 0.2980 0.0000
Ag1 0.1723 0.1723 0.5000
Ag2 0.8277 0.8277 0.5000

## Properties
Symmetry = Cmmm

---

Verdict on stability: A comes out on top.

---

A.
Below is an optimized crystal structure of LaCo3Ag, with properties calculated at the PBE level.

Lattice parameters (Å, degrees): 4.5546 4.5546 4.5546 90.00 90.00 90.00
Element x y z (fractional)
La1 0.0000 0.0000 0.0000
Co1 0.0000 0.0000 0.5000
Co2 0.0000 0.5000 0.0000
Co3 0.5000 0.0000 0.0000
Ag1 0.5000 0.5000 0.5000

## Properties
Symmetry = Pm-3m

---

B.
Below is an optimized crystal structure of LaCo3Ag, with properties calculated at the PBE level.

Lattice parameters (Å, degrees): 4.7197 4.7197 4.7197 90.00 90.00 90.00
Element x y z (fractional)
La1 0.0000 0.0000 0.0000
Co1 0.0000 0.5000 0.5000
Co2 0.5000 0.0000 0.5000
Co3 0.5000 0.5000 0.0000
Ag1 0.5000 0.5000 0.5000

## Properties
Symmetry = Pm-3m

---

Verdict on stability: B comes out on top.

---

A.
Below is an optimized crystal structure of La2MgCoAg, with properties calculated at the PBE level.

Lattice parameters (Å, degrees): 5.2138 5.2138 5.0004 90.00 90.00 90.00
Element x y z (fractional)
La1 0.0000 0.5000 0.0000
La2 0.5000 0.0000 0.0000
Mg1 0.0000 0.0000 0.5000
Co1 0.0000 0.0000 0.0000
Ag1 0.5000 0.5000 0.5000

## Properties
Symmetry = P4/mmm

---

B.
Below is an optimized crystal structure of La2MgCoAg, with properties calculated at the PBE level.

Lattice parameters (Å, degrees): 5.1416 5.1416 5.1752 90.00 90.00 90.00
Element x y z (fractional)
La1 0.0000 0.5000 0.0000
La2 0.5000 0.0000 0.0000
Mg1 0.0000 0.0000 0.5000
Co1 0.5000 0.5000 0.0000
Ag1 0.5000 0.5000 0.5000

## Properties
Symmetry = P4/mmm

---

Verdict on stability: A comes out on top.

---

A.
Below is an optimized crystal structure of LiCo3Ag, with properties calculated at the PBE level.

Lattice parameters (Å, degrees): 3.9963 3.9963 3.9963 90.00 90.00 90.00
Element x y z (fractional)
Li1 0.0000 0.0000 0.0000
Co1 0.0000 0.0000 0.5000
Co2 0.0000 0.5000 0.0000
Co3 0.5000 0.0000 0.0000
Ag1 0.5000 0.5000 0.5000

## Properties
Symmetry = Pm-3m

---

B.
Below is an optimized crystal structure of LiCo3Ag, with properties calculated at the PBE level.

Lattice parameters (Å, degrees): 4.7218 4.7218 4.7218 90.00 90.00 90.00
Element x y z (fractional)
Li1 0.0000 0.0000 0.0000
Co1 0.0000 0.5000 0.5000
Co2 0.5000 0.0000 0.5000
Co3 0.5000 0.5000 0.0000
Ag1 0.5000 0.5000 0.5000

## Properties
Symmetry = Pm-3m

---

Verdict on stability: A comes out on top.

---

A.
Below is an optimized crystal structure of LiCoAg, with properties calculated at the PBE level.

Lattice parameters (Å, degrees): 4.2021 4.2021 4.2021 60.00 60.00 60.00
Element x y z (fractional)
Li1 0.0000 0.0000 0.0000
Co1 0.7500 0.7500 0.7500
Ag1 0.5000 0.5000 0.5000

## Properties
Symmetry = F-43m

---

B.
Below is an optimized crystal structure of LiCoAg, with properties calculated at the PBE level.

Lattice parameters (Å, degrees): 6.4167 6.4167 6.4167 156.10 156.10 34.05
Element x y z (fractional)
Li1 0.0000 0.0000 0.0000
Co1 0.6573 0.6573 0.0000
Ag1 0.3249 0.3249 0.0000

## Properties
Symmetry = I4mm

---

C.
Below is an optimized crystal structure of LiCoAg, with properties calculated at the PBE level.

Lattice parameters (Å, degrees): 2.7018 2.7018 6.8406 90.00 90.00 120.00
Element x y z (fractional)
Li1 0.0000 0.0000 0.0000
Co1 0.6667 0.3333 0.6894
Ag1 0.3333 0.6667 0.3463

## Properties
Symmetry = P3m1

---

Verdict on stability: C comes out on top.

---

A.
Below is an optimized crystal structure of LiCoAg, with properties calculated at the PBE level.

Lattice parameters (Å, degrees): 4.7170 4.7170 4.7170 147.49 129.91 61.00
Element x y z (fractional)
Li1 0.0000 0.0000 0.0000
Co1 0.3340 0.3340 0.0000
Ag1 0.6701 0.6701 0.0000

## Properties
Symmetry = Imm2

---

B.
Below is an optimized crystal structure of LiCoAg, with properties calculated at the PBE level.

Lattice parameters (Å, degrees): 7.1151 6.9033 2.6645 83.55 74.60 21.85
Element x y z (fractional)
Li1 0.0000 0.0000 0.0000
Co1 0.3438 0.3438 0.6562
Ag1 0.6722 0.6722 0.3278

## Properties
Symmetry = Fmm2

---

Verdict on stability: B comes out on top.